# BaPmCuO3

BaPmCuO3 after structural relaxation (PBE, Alexandria via LeMat-Bulk).

Unit cell a=7.0435 b=7.0435 c=8.5337 alpha=90.00 beta=90.00 gamma=148.08
Fractional positions:
1 Ba 0.1927 0.8073 0.7500
2 Ba 0.8073 0.1927 0.2500
3 Pm 0.5000 0.5000 0.0000
4 Pm 0.5000 0.5000 0.5000
5 Cu 0.1089 0.8911 0.2500
6 Cu 0.8911 0.1089 0.7500
7 O 0.1105 0.8895 0.0374
8 O 0.1105 0.8895 0.4626
9 O 0.4291 0.5709 0.2500
10 O 0.5709 0.4291 0.7500
11 O 0.8895 0.1105 0.5374
12 O 0.8895 0.1105 0.9626

Calculated values
Calculated density (g/cm3): 5.8
Energy relative to the elements, uncorrected (eV/atom): -2.35
SG: Cmcm (63)
E (hartree per atom): -0.2435